Entry from Alexandria: a PBEsol-optimized structure of Zr2CoTcH (SCAN).

The structure belongs to space group P4/mmm (No. 123); the cell edges are 4.963, 4.963 and 4.172 Å and the angles 90.00°, 90.00° and 90.00°. The asymmetric unit holds Zr at (0.000, 0.500, 0.000), Co at (0.000, 0.000, 0.500), Tc at (0.000, 0.000, 0.000) and H at (0.500, 0.500, 0.500).

The value obtained for the total energy is -111.49 eV for the cell shown.



Entry from Alexandria: a PBEsol-optimized structure of Co2TeH (SCAN).

The structure belongs to space group I-42d (No. 122); the cell edges are 4.580, 4.580 and 9.098 Å and the angles 90.00°, 90.00° and 90.00°. The asymmetric unit holds Co at (0.098, 0.250, 0.125), Te at (0.000, 0.000, 0.500) and H at (0.000, 0.000, 0.000).

The value obtained for the total energy is -297.17 eV for the cell shown.



Entry from Alexandria: a PBEsol-optimized structure of CoTeH3 (SCAN).

The structure belongs to space group Pm-3m (No. 221); the cell edges are 3.497, 3.497 and 3.497 Å and the angles 90.00°, 90.00° and 90.00°. The asymmetric unit holds Co at (0.000, 0.000, 0.000), Te at (0.500, 0.500, 0.500) and H at (0.000, 0.000, 0.500).

The value obtained for the total energy is -61.39 eV for the cell shown.



Entry from Alexandria: a PBEsol-optimized structure of TiCoH3 (SCAN).

The structure belongs to space group Pm-3m (No. 221); the cell edges are 3.195, 3.195 and 3.195 Å and the angles 90.00°, 90.00° and 90.00°. The asymmetric unit holds Ti at (0.000, 0.000, 0.000), Co at (0.500, 0.500, 0.500) and H at (0.000, 0.500, 0.500).

The value obtained for the total energy is -44.73 eV for the cell shown.